(1)
DFT (PBE) results for HgGePbAu2 after structural relaxation.

abc: 7.8729 7.8729 8.2197
angles: 119.41 119.41 34.23
With the nearest neighbours (Å) after each atom.
Atoms (fractional coordinates):
Hg 0.1283 0.1283 0.2921  5 Au 2.86-3.01
Hg 0.8717 0.8717 0.7079  5 Au 2.86-3.01
Ge 0.4459 0.4459 0.2748  4 Au 2.60-2.62
Ge 0.5541 0.5541 0.7252  4 Au 2.60-2.62
Pb 0.2648 0.2648 0.8196  5 Au 2.96-3.21, 2 Hg 3.21, 1 Ge 3.31
Pb 0.7352 0.7352 0.1804  5 Au 2.96-3.21, 2 Hg 3.21, 1 Ge 3.31
Au 0.0927 0.0927 0.8962  2 Ge 2.62, 1 Hg 2.86
Au 0.3567 0.3567 0.4764  2 Ge 2.60-2.61
Au 0.6433 0.6433 0.5236  2 Ge 2.60-2.61
Au 0.9073 0.9073 0.1038  2 Ge 2.62, 1 Hg 2.86

Values from the calculation:
Calculated volume (Å³ per cell): 245.9
Formation energy from the elements (eV per atom): 0.0134
Crystal system: monoclinic
Symmetry: C2/m (12)



(2)
DFT (PBE) results for CoTc2PPt after structural relaxation.

abc: 4.3589 4.3589 4.0647
angles: 90.00 90.00 90.00
With the nearest neighbours (Å) after each atom.
Atoms (fractional coordinates):
Co 0.0000 0.0000 0.0000  2 P 2.03
Tc 0.0000 0.5000 0.5000  2 P 2.18
Tc 0.5000 0.0000 0.5000  2 P 2.18
P 0.0000 0.0000 0.5000  2 Co 2.03, 4 Tc 2.18
Pt 0.5000 0.5000 0.0000  8 Tc 2.98, 4 Co 3.08

Values from the calculation:
Calculated volume (Å³ per cell): 77.2
Formation energy from the elements (eV per atom): 0.4587
Crystal system: tetragonal
Symmetry: P4/mmm (123)



(3)
DFT (PBE) results for Pa4GeAsP2 after structural relaxation.

abc: 6.9780 4.0332 7.0311
angles: 90.00 109.35 90.00
With the nearest neighbours (Å) after each atom.
Atoms (fractional coordinates):
Pa 0.2455 0.0000 0.2371  3 P 2.81, 1 Ge 2.91, 2 As 2.91
Pa 0.2539 0.5000 0.7626  3 P 2.81, 2 Ge 2.91, 1 As 2.91
Pa 0.7461 0.5000 0.2374  3 P 2.81, 2 Ge 2.91, 1 As 2.91
Pa 0.7545 0.0000 0.7629  3 P 2.81, 1 Ge 2.91, 2 As 2.91
Ge 0.0000 0.0000 0.5000  6 Pa 2.91
As 0.5000 0.5000 0.5000  6 Pa 2.91
P 0.0000 0.5000 0.0000  6 Pa 2.81
P 0.5000 0.0000 0.0000  6 Pa 2.81

Values from the calculation:
Calculated volume (Å³ per cell): 186.7
Formation energy from the elements (eV per atom): -1.0430
Crystal system: monoclinic
Symmetry: P2/m (10)



(4)
DFT (PBE) results for NbRe2PtAu after structural relaxation.

abc: 4.6966 4.6966 4.9702
angles: 90.00 90.00 90.00
With the nearest neighbours (Å) after each atom.
Atoms (fractional coordinates):
Nb 0.0000 0.0000 0.0000  4 Re 2.35, 2 Au 2.49
Re 0.0000 0.5000 0.0000  2 Nb 2.35
Re 0.5000 0.0000 0.0000  2 Nb 2.35
Pt 0.5000 0.5000 0.5000  4 Au 3.32, 8 Re 3.42
Au 0.0000 0.0000 0.5000  2 Nb 2.49

Values from the calculation:
Calculated volume (Å³ per cell): 109.6
Formation energy from the elements (eV per atom): 2.1790
Crystal system: tetragonal
Symmetry: P4/mmm (123)



(5)
DFT (PBE) results for Tm2MgGa2Ni5 after structural relaxation.

abc: 9.4312 9.4312 3.5427
angles: 90.00 90.00 90.00
With the nearest neighbours (Å) after each atom.
Atoms (fractional coordinates):
Tm 0.1782 0.3218 0.0000  3 Ga 2.71-2.86, 2 Ni 2.96
Tm 0.3218 0.8218 0.0000  3 Ga 2.71-2.86, 2 Ni 2.96
Tm 0.6782 0.1782 0.0000  3 Ga 2.71-2.86, 2 Ni 2.96
Tm 0.8218 0.6782 0.0000  3 Ga 2.71-2.86, 2 Ni 2.96
Mg 0.0000 0.0000 0.0000  8 Ni 2.76
Mg 0.5000 0.5000 0.0000  8 Ni 2.76
Ga 0.1187 0.6187 0.0000  6 Ni 2.38-2.42
Ga 0.3813 0.1187 0.0000  6 Ni 2.38-2.42
Ga 0.6187 0.8813 0.0000  6 Ni 2.38-2.42
Ga 0.8813 0.3813 0.0000  6 Ni 2.38-2.42
Ni 0.0000 0.5000 0.5000  4 Ga 2.38
Ni 0.0619 0.7843 0.5000  2 Ga 2.42
Ni 0.2157 0.0619 0.5000  2 Ga 2.42
Ni 0.2843 0.5619 0.5000  2 Ga 2.42
Ni 0.4381 0.2843 0.5000  2 Ga 2.42
Ni 0.5000 0.0000 0.5000  4 Ga 2.38
Ni 0.5619 0.7157 0.5000  2 Ga 2.42
Ni 0.7157 0.4381 0.5000  2 Ga 2.42
Ni 0.7843 0.9381 0.5000  2 Ga 2.42
Ni 0.9381 0.2157 0.5000  2 Ga 2.42

Values from the calculation:
Calculated volume (Å³ per cell): 315.1
Formation energy from the elements (eV per atom): -0.3680
Crystal system: tetragonal
Symmetry: P4/mbm (127)



(6)
DFT (PBE) results for NbRhSCl2 after structural relaxation.

abc: 4.6563 4.6563 4.7919
angles: 90.00 90.00 90.00
With the nearest neighbours (Å) after each atom.
Atoms (fractional coordinates):
Nb 0.0000 0.0000 0.0000  4 S 3.29, 8 Cl 3.34
Rh 0.5000 0.5000 0.5000  4 Cl 2.33, 2 S 2.40
S 0.5000 0.5000 0.0000  2 Rh 2.40
Cl 0.0000 0.5000 0.5000  2 Rh 2.33
Cl 0.5000 0.0000 0.5000  2 Rh 2.33

Values from the calculation:
Calculated volume (Å³ per cell): 103.9
Formation energy (no corrections) (kJ per mole of atoms): 40.8
Crystal system: tetragonal
Symmetry: P4/mmm (123)



(7)
DFT (PBE) results for Na4Hf3S8 after structural relaxation.

abc: 8.3680 8.3680 8.3680
angles: 53.59 53.59 53.59
With the nearest neighbours (Å) after each atom.
Atoms (fractional coordinates):
Na 0.0000 0.0000 0.0000  6 S 2.74, 2 Na 3.02
Na 0.1409 0.1409 0.1409  4 S 2.71-2.81, 1 Na 3.02
Na 0.5000 0.5000 0.5000  6 S 2.94
Na 0.8591 0.8591 0.8591  4 S 2.71-2.81, 1 Na 3.02
Hf 0.0000 0.5000 0.5000  6 S 2.56-2.60
Hf 0.5000 0.0000 0.5000  6 S 2.56-2.60
Hf 0.5000 0.5000 0.0000  6 S 2.56-2.60
S 0.2458 0.2458 0.7111  2 Hf 2.56, 2 Na 2.74-2.81
S 0.2458 0.7111 0.2458  2 Hf 2.56, 2 Na 2.74-2.81
S 0.2672 0.2672 0.2672  3 Hf 2.60, 1 Na 2.71
S 0.2889 0.7542 0.7542  2 Hf 2.56, 2 Na 2.74-2.81
S 0.7111 0.2458 0.2458  2 Hf 2.56, 2 Na 2.74-2.81
S 0.7328 0.7328 0.7328  3 Hf 2.60, 1 Na 2.71
S 0.7542 0.2889 0.7542  2 Hf 2.56, 2 Na 2.74-2.81
S 0.7542 0.7542 0.2889  2 Hf 2.56, 2 Na 2.74-2.81

Values from the calculation:
Calculated volume (Å³ per cell): 352.2
Formation energy (no corrections) (kJ per mole of atoms): -139.5
Crystal system: trigonal
Symmetry: R-3m (166)



(8)
DFT (PBE) results for As3PdS after structural relaxation.

abc: 4.7130 4.7130 4.7130
angles: 90.00 90.00 90.00
With the nearest neighbours (Å) after each atom.
Atoms (fractional coordinates):
As 0.0000 0.0000 0.5000  2 S 2.36
As 0.0000 0.5000 0.0000  2 S 2.36
As 0.5000 0.0000 0.0000  2 S 2.36
Pd 0.5000 0.5000 0.5000  12 As 3.33
S 0.0000 0.0000 0.0000  6 As 2.36

Values from the calculation:
Calculated volume (Å³ per cell): 104.7
Formation energy (no corrections) (kJ per mole of atoms): 75.3
Crystal system: cubic
Symmetry: Pm-3m (221)



(9)
DFT (PBE) results for LiZrIn after structural relaxation.

abc: 4.7035 4.7035 4.7035
angles: 60.00 60.00 60.00
With the nearest neighbours (Å) after each atom.
Atoms (fractional coordinates):
Li 0.0000 0.0000 0.0000  4 In 2.88
Zr 0.5000 0.5000 0.5000  4 In 2.88
In 0.2500 0.2500 0.2500  4 Zr 2.88, 4 Li 2.88

Values from the calculation:
Calculated volume (Å³ per cell): 73.6
Formation energy from the elements (eV per atom): 0.2172
Crystal system: cubic
Symmetry: F-43m (216)



(10)
DFT (PBE) results for RbLiAu2F8 after structural relaxation.

abc: 7.9056 7.9056 7.9056
angles: 39.54 39.54 39.54
With the nearest neighbours (Å) after each atom.
Atoms (fractional coordinates):
Rb 0.0000 0.0000 0.0000  12 F 2.93-3.19
Li 0.5000 0.5000 0.5000  6 F 2.03
Au 0.2088 0.2088 0.2088  1 F 1.94
Au 0.7912 0.7912 0.7912  1 F 1.94
F 0.1887 0.3572 0.7968  1 Li 2.03, 1 Au 2.24
F 0.2032 0.6428 0.8113  1 Li 2.03, 1 Au 2.24
F 0.2975 0.2975 0.2975  1 Au 1.94
F 0.3572 0.7968 0.1887  1 Li 2.03, 1 Au 2.24
F 0.6428 0.8113 0.2032  1 Li 2.03, 1 Au 2.24
F 0.7025 0.7025 0.7025  1 Au 1.94
F 0.7968 0.1887 0.3572  1 Li 2.03, 1 Au 2.24
F 0.8113 0.2032 0.6428  1 Li 2.03, 1 Au 2.24

Values from the calculation:
Calculated volume (Å³ per cell): 180.3
Formation energy (no corrections) (kJ per mole of atoms): -127.2
Crystal system: trigonal
Symmetry: R32 (155)



(11)
DFT (PBE) results for CeDy2Hg after structural relaxation.

abc: 10.7475 10.7475 10.7475
angles: 19.06 19.06 19.06
With the nearest neighbours (Å) after each atom.
Atoms (fractional coordinates):
Ce 0.0000 0.0000 0.0000  6 Dy 3.50, 6 Ce 3.56
Dy 0.2438 0.2438 0.2438  3 Hg 3.19, 3 Ce 3.50, 6 Dy 3.56
Dy 0.7562 0.7562 0.7562  3 Hg 3.19, 3 Ce 3.50, 6 Dy 3.56
Hg 0.5000 0.5000 0.5000  6 Dy 3.19, 6 Hg 3.56

Values from the calculation:
Calculated volume (Å³ per cell): 115.7
Formation energy from the elements (eV per atom): -0.1296
Crystal system: trigonal
Symmetry: R-3m (166)



(12)
DFT (PBE) results for Ca2RuRh2 after structural relaxation.

abc: 6.6026 6.6026 4.6216
angles: 90.00 90.00 90.00
With the nearest neighbours (Å) after each atom.
Atoms (fractional coordinates):
Ca 0.1791 0.3209 0.0000  6 Rh 2.87-3.13
Ca 0.3209 0.8209 0.0000  6 Rh 2.87-3.13
Ca 0.6791 0.1791 0.0000  6 Rh 2.87-3.13
Ca 0.8209 0.6791 0.0000  6 Rh 2.87-3.13
Ru 0.0000 0.0000 0.5000  4 Rh 2.56
Ru 0.5000 0.5000 0.5000  4 Rh 2.56
Rh 0.1382 0.6382 0.5000  2 Ru 2.56, 1 Rh 2.58
Rh 0.3618 0.1382 0.5000  2 Ru 2.56, 1 Rh 2.58
Rh 0.6382 0.8618 0.5000  2 Ru 2.56, 1 Rh 2.58
Rh 0.8618 0.3618 0.5000  2 Ru 2.56, 1 Rh 2.58

Values from the calculation:
Calculated volume (Å³ per cell): 201.5
Formation energy from the elements (eV per atom): -0.0859
Crystal system: tetragonal
Symmetry: P4/mbm (127)



no.,uncorrected energy (eV per atom)
1,-3.023
2,-7.399
3,-8.302
4,-6.678
5,-4.918
6,-4.625
7,-5.990
8,-3.873
9,-4.183
10,-3.352
11,-3.990
12,-5.682